Record 1
A plane-wave DFT calculation with GGA-PBE was carried out for a geometry-optimized AcSi2Rh structure.

```
AcSi2Rh
1.0
4.162 0.000 0.000
2.081 3.605 0.000
2.081 1.202 5.515
Si Ac Rh
2 1 1
direct
0.204 0.204 0.387
0.796 0.796 0.613
0.000 0.000 0.000
0.500 0.500 0.500
```

Results
relative energy among the computed polymorphs	0.000	eV per atom
symmetry	R-3m, No. 166


Record 2
A plane-wave DFT calculation with GGA-PBE was carried out for a geometry-optimized Ac2Si2Rh5 structure.

```
Ac2Si2Rh5
1.0
4.272 0.000 0.000
0.000 4.272 0.000
0.000 0.000 9.275
Rh Ac Si
5 2 2
direct
0.500 0.000 0.738
0.500 0.500 0.500
0.000 0.500 0.262
0.500 0.000 0.262
0.000 0.500 0.738
0.000 0.000 0.000
0.000 0.000 0.500
0.500 0.500 0.847
0.500 0.500 0.153
```

Results
symmetry	P4/mmm, No. 123


Record 3
A plane-wave DFT calculation with GGA-PBE was carried out for a geometry-optimized AcSiRh4 structure.

```
AcSiRh4
1.0
3.828 0.000 0.000
0.000 7.173 0.000
0.000 0.000 7.737
Rh Si Ac
8 2 2
direct
0.500 0.954 0.750
0.500 0.288 0.566
0.500 0.712 0.066
0.000 0.000 0.500
0.500 0.288 0.934
0.000 0.000 0.000
0.500 0.046 0.250
0.500 0.712 0.434
0.000 0.810 0.250
0.000 0.190 0.750
0.000 0.625 0.750
0.000 0.375 0.250
```

Results
symmetry	Pmma, No. 51


Record 4
A plane-wave DFT calculation with GGA-PBE was carried out for a geometry-optimized Ac2SiRh structure.

```
Ac2SiRh
1.0
-3.067 -1.200 2.999
1.188 -0.732 4.230
-2.099 7.810 4.285
Ac Rh Si
2 1 1
direct
0.900 0.900 0.299
0.100 0.100 0.701
0.000 0.000 0.000
0.500 0.500 0.500
```

Results
symmetry	R-3m, No. 166


Record 5
A plane-wave DFT calculation with GGA-PBE was carried out for a geometry-optimized Ac2Si3Rh5 structure.

```
Ac2Si3Rh5
1.0
-2.047 -2.642 2.072
4.784 -4.943 -1.576
8.071 4.593 10.100
Si Ac Rh
6 4 10
direct
0.930 0.485 0.860
0.610 0.473 0.220
0.070 0.985 0.140
0.211 0.188 0.422
0.390 0.973 0.780
0.789 0.688 0.578
0.508 0.273 0.016
0.817 0.229 0.634
0.183 0.729 0.366
0.492 0.773 0.984
0.615 0.964 0.230
0.385 0.464 0.770
0.121 0.268 0.242
0.694 0.362 0.387
0.879 0.768 0.758
0.269 0.486 0.537
0.077 0.637 0.154
0.731 0.986 0.463
0.923 0.137 0.846
0.306 0.862 0.613
```

Results
symmetry	Cmc2_1, No. 36


Record 6
A plane-wave DFT calculation with GGA-PBE was carried out for a geometry-optimized AcSi4Rh4 structure.

```
AcSi4Rh4
1.0
4.218 0.000 0.000
0.000 8.648 0.000
0.000 0.000 8.648
Rh Si Ac
8 8 2
direct
0.000 0.855 0.407
0.000 0.593 0.855
0.500 0.093 0.355
0.000 0.145 0.593
0.500 0.355 0.907
0.000 0.407 0.145
0.500 0.645 0.093
0.500 0.907 0.645
0.000 0.665 0.218
0.500 0.165 0.718
0.500 0.282 0.165
0.500 0.718 0.835
0.500 0.835 0.282
0.000 0.335 0.782
0.000 0.218 0.335
0.000 0.782 0.665
0.000 0.000 0.000
0.500 0.500 0.500
```

Results
relative energy among the computed polymorphs	0.017	eV per atom
symmetry	I4/m, No. 87


Calculated raw total energy (eV/atom), listed in the same order as above: -6.4108, -6.9741, -7.0099, -5.0546, -6.8681, -6.9720
Calculated energy relative to the elements, uncorrected (eV per atom), listed in the same order as above: -0.8343, -0.7719, -0.5203, 0.1933, -0.7438, -0.8380